# Ba2TlOs

A relaxed Ba2TlOs crystal (PBE, the Alexandria database).

a b c (Å): 5.522 5.522 4.196
angles (deg): 90.03 90.03 89.96
Fractional coordinates of all 4 atoms:
Ba 0.000 0.500 0.000
Ba 0.500 0.000 0.000
Tl 0.000 0.000 0.500
Os 0.500 0.500 0.500

Values from the calculation:
DFT total energy = -3.758 eV/atom
total magnetization = 0.5 Bohr magnetons per cell
density = 8.69 g cm⁻³
energy of formation from the pure elements = 0.602 eV/atom
space-group type = C2/m